1.
Ag2SbCl, relaxed, DFT PBE; space-group type = Cmmm (65); distance to the lowest polymorph of the same formula = 4.309 kcal/mol of atoms; uncorrected energy = -2.87 eV per atom; magnetic moment = 0.00 μB per formula unit; calculated density = 7.12 g/cm³
1.0
6.0650 0.0000 0.0000
0.0000 8.3481 0.0000
0.0000 0.0000 3.4365
Ag Sb Cl
4 2 2
direct
0.2500 0.2500 0.0000 Ag
0.2500 0.7500 0.0000 Ag
0.7500 0.2500 0.0000 Ag
0.7500 0.7500 0.0000 Ag
0.0000 0.0000 0.5000 Sb
0.5000 0.5000 0.5000 Sb
0.0000 0.5000 0.5000 Cl
0.5000 0.0000 0.5000 Cl

=====

2.
AcTb2PmSm6, relaxed, DFT PBE; space-group type = C2/c (15); uncorrected energy = -4.52 eV per atom; magnetic moment = 0.00 μB per formula unit; calculated density = 7.54 g/cm³
1.0
4.6625 -7.7461 0.0000
4.6625 7.7461 0.0000
-1.0241 0.0000 9.7132
Ac Tb Pm Sm
2 4 2 12
direct
0.0284 0.9716 0.7500 Ac
0.9716 0.0284 0.2500 Ac
0.1989 0.3105 0.5466 Tb
0.3105 0.1989 0.0466 Tb
0.6895 0.8011 0.9534 Tb
0.8011 0.6895 0.4534 Tb
0.4097 0.5903 0.2500 Pm
0.5903 0.4097 0.7500 Pm
0.0179 0.5577 0.6808 Sm
0.1224 0.7489 0.0556 Sm
0.2511 0.8776 0.4444 Sm
0.2913 0.5074 0.8811 Sm
0.4423 0.9821 0.8192 Sm
0.4926 0.7087 0.6189 Sm
0.5074 0.2913 0.3811 Sm
0.5577 0.0179 0.1808 Sm
0.7087 0.4926 0.1189 Sm
0.7489 0.1224 0.5556 Sm
0.8776 0.2511 0.9444 Sm
0.9821 0.4423 0.3192 Sm

=====

3.
CaThTl4, relaxed, DFT PBE; space-group type = C2/m (12); uncorrected energy = -3.05 eV per atom; magnetic moment = 0.00 μB per formula unit; calculated density = 8.79 g/cm³
1.0
7.6721 0.0000 0.0000
0.0000 7.6728 0.0000
-0.0085 0.0000 6.9972
Ca Th Tl
2 2 8
direct
0.0000 0.0000 0.0000 Ca
0.5000 0.5000 0.0000 Ca
0.0000 0.5000 0.5000 Th
0.5000 0.0000 0.5000 Th
0.2501 0.2503 0.2485 Tl
0.2499 0.2497 0.7515 Tl
0.2501 0.7497 0.2485 Tl
0.2499 0.7503 0.7515 Tl
0.7501 0.2497 0.2485 Tl
0.7499 0.2503 0.7515 Tl
0.7501 0.7503 0.2485 Tl
0.7499 0.7497 0.7515 Tl